GeH2Cl2 after structural relaxation. Source: Alexandria, functional PBE.

Results
The density of states at the Fermi level comes out at 0.0 states/eV per cell. As for the theoretical density: 2.1 g cm⁻³. For the energy above the lowest structure with this stoichiometry, the calculation gives 0 meV per atom. As for the total energy: -3.47 eV/atom. As for the magnetic moment: 0.00 μB per formula unit.

Structure (POSCAR):
```
GeH2Cl2
1.0
3.675 -0.145 1.380
1.712 3.256 1.380
6.315 3.646 12.557
Ge H Cl
1 2 2
Cartesian
0.000 0.000 0.000 Ge
5.541 3.199 7.769 H
6.162 3.558 7.547 H
3.078 1.777 3.183 Cl
8.625 4.980 12.134 Cl
```

Mn5Re24 after structural relaxation. Source: Alexandria, functional PBE.

Results
The density of states at the Fermi level comes out at 20.7 states/eV per cell. As for the theoretical density: 17.8 g cm⁻³. As for the total energy: -11.85 eV/atom. Its formation energy is 0.028 eV per atom. As for the magnetic moment: 16.88 μB per formula unit.

Structure (POSCAR):
```
Mn5Re24
1.0
-3.630 7.394 -1.163
-4.429 -5.899 -3.845
0.355 -1.664 8.142
Mn Re
5 24
Cartesian
-2.873 -3.827 -2.494 Mn
-2.355 4.796 -0.755 Mn
0.231 -1.079 5.282 Mn
-2.706 -0.059 1.101 Mn
0.000 0.000 0.000 Mn
-2.371 -0.792 -1.674 Re
-2.225 1.644 -1.182 Re
-6.434 0.901 -2.547 Re
-4.732 -0.427 3.529 Re
-3.452 3.540 4.924 Re
-5.658 -1.247 1.209 Re
-1.299 2.464 1.137 Re
-0.569 0.804 2.843 Re
-1.600 -2.544 0.127 Re
-0.723 -1.768 2.324 Re
-5.503 1.325 1.728 Re
-3.950 -4.744 3.253 Re
-4.259 2.688 -2.338 Re
-4.485 -1.066 -3.096 Re
-2.294 -0.721 4.259 Re
-4.724 0.425 -0.699 Re
-4.214 -2.421 -0.552 Re
-3.211 1.764 3.093 Re
-1.214 1.830 5.100 Re
-2.339 4.387 2.472 Re
-1.534 -3.505 4.024 Re
-2.885 -4.701 0.639 Re
-3.464 -2.440 2.244 Re
-3.893 2.914 0.524 Re
```

TiZn2SnRh after structural relaxation. Source: Alexandria, functional PBE.

Results
The density of states at the Fermi level comes out at 5.7 states/eV per cell. As for the theoretical density: 6.2 g cm⁻³. For the energy above the lowest structure with this stoichiometry, the calculation gives 0 meV per atom. As for the total energy: -4.00 eV/atom. Its formation energy is 0.360 eV per atom. As for the magnetic moment: 0.00 μB per formula unit.

Structure (POSCAR):
```
TiZn2SnRh
1.0
4.658 0.000 0.000
0.000 4.967 0.000
0.000 0.000 4.658
Zn Rh Sn Ti
2 1 1 1
Cartesian
0.000 0.000 2.329 Zn
2.329 0.000 0.000 Zn
0.000 0.000 0.000 Rh
0.000 2.484 0.000 Sn
2.329 2.484 2.329 Ti
```

Y3SiTe2 after structural relaxation. Source: Alexandria, functional PBE.

Results
The density of states at the Fermi level comes out at 2.1 states/eV per cell. As for the theoretical density: 5.4 g cm⁻³. For the energy above the lowest structure with this stoichiometry, the calculation gives 4 meV per atom. As for the total energy: -6.41 eV/atom. As for the magnetic moment: 0.00 μB per formula unit.

Structure (POSCAR):
```
Y3SiTe2
1.0
-3.743 -1.823 0.906
2.484 -2.719 4.794
-0.967 7.412 0.894
Y Si Te
3 1 2
Cartesian
-1.137 3.659 2.664 Y
0.000 0.000 0.000 Y
-1.090 -0.789 3.929 Y
1.242 -1.359 2.397 Si
-2.428 0.879 1.757 Te
0.201 1.991 4.836 Te
```

AlSbP2 after structural relaxation. Source: Alexandria, functional PBE.

Results
The density of states at the Fermi level comes out at 1.8 states/eV per cell. As for the theoretical density: 4.4 g cm⁻³. For the energy above the lowest structure with this stoichiometry, the calculation gives 387 meV per atom. As for the total energy: -4.35 eV/atom. As for the magnetic moment: 0.00 μB per formula unit.

Structure (POSCAR):
```
AlSbP2
1.0
5.023 0.004 -0.002
0.296 5.016 0.003
-1.679 -3.549 3.133
Sb Al P
1 1 2
Cartesian
3.002 -0.517 1.566 Sb
0.638 1.988 1.569 Al
-1.507 -3.390 3.130 P
2.488 2.351 0.004 P
```

TiAgSN2 after structural relaxation. Source: Alexandria, functional PBE.

Results
The density of states at the Fermi level comes out at 4.0 states/eV per cell. As for the theoretical density: 4.6 g cm⁻³. For the energy above the lowest structure with this stoichiometry, the calculation gives 0 meV per atom. As for the total energy: -5.94 eV/atom. As for the magnetic moment: 0.01 μB per formula unit.

Structure (POSCAR):
```
TiAgSN2
1.0
3.834 0.000 0.000
0.000 3.834 0.000
0.000 0.000 5.350
S N Ag Ti
1 2 1 1
Cartesian
0.000 0.000 2.675 S
0.000 1.917 0.000 N
1.917 0.000 0.000 N
1.917 1.917 2.675 Ag
0.000 0.000 0.000 Ti
```